DFT (GGA-PBE) results for crystalline ErTm7 at its relaxed geometry.

extended XYZ file:
```
8
Lattice="-4.034 5.615 0.854 -3.814 0.701 5.787 1.700 4.824 4.729" Properties=species:S:1:pos:R:3 pbc="T T T"
Er 0.000 0.000 0.000
Tm -3.924 3.158 3.320
Tm -1.167 5.219 2.791
Tm -1.057 2.763 5.258
Tm -2.017 2.807 0.427
Tm -1.907 0.351 2.893
Tm 0.850 2.412 2.364
Tm -3.074 5.570 5.685
```

* offset from the most stable computed form: 0 meV per atom
* size of the total moment: 0.00 Bohr magnetons per cell
* ΔH_f (0 K): 0.25 eV/f.u.